No. 1
! Hf2VInPt | Alexandria | PBE | optimized geometry; values from VASP
! SG ... P4/mmm
! Formation energy ... 0.424 eV per atom
&SYSTEM
  ibrav = 0, nat = 5, ntyp = 4
/
ATOMIC_SPECIES
Hf 178.49 Hf.upf
V 50.94 V.upf
In 114.82 In.upf
Pt 195.08 Pt.upf
CELL_PARAMETERS angstrom
4.809 0.000 0.000
0.000 4.809 0.000
0.000 0.000 4.715
ATOMIC_POSITIONS crystal
Hf 0.000 0.500 0.000
Hf 0.500 0.000 0.000
V 0.000 0.000 0.000
In 0.500 0.500 0.500
Pt 0.000 0.000 0.500

=====

No. 2
! HfZn2InPt | Alexandria | PBE | optimized geometry; values from VASP
! SG ... P4/mmm
! Formation energy ... 0.908 eV per atom
&SYSTEM
  ibrav = 0, nat = 5, ntyp = 4
/
ATOMIC_SPECIES
Hf 178.49 Hf.upf
Zn 65.41 Zn.upf
In 114.82 In.upf
Pt 195.08 Pt.upf
CELL_PARAMETERS angstrom
4.675 0.000 0.000
0.000 4.675 0.000
0.000 0.000 5.512
ATOMIC_POSITIONS crystal
Hf 0.000 0.000 0.000
Zn 0.000 0.500 0.500
Zn 0.500 0.000 0.500
In 0.000 0.000 0.500
Pt 0.500 0.500 0.000

=====

No. 3
! PuHf2In | Alexandria | PBE | optimized geometry; values from VASP
! SG ... P4/mmm
! Formation energy ... 0.013 eV per atom
! Offset from the most stable computed form ... 0.0495 eV/atom
&SYSTEM
  ibrav = 0, nat = 4, ntyp = 3
/
ATOMIC_SPECIES
Pu 244.00 Pu.upf
Hf 178.49 Hf.upf
In 114.82 In.upf
CELL_PARAMETERS angstrom
3.258 0.000 0.000
0.000 3.258 0.000
0.000 0.000 8.643
ATOMIC_POSITIONS crystal
Pu 0.000 0.000 0.000
Hf 0.500 0.500 0.257
Hf 0.500 0.500 0.743
In 0.000 0.000 0.500